# 1
Below is an optimized crystal structure of NbAsSBr2, with properties calculated at the GGA-PBE level.

The formation energy from raw total energies comes out at 1.695 eV per formula unit. Its energy above the lowest structure with this stoichiometry is 0.0 meV per atom.

It has space group P4/mmm (No. 123), with a = 4.961 Å, b = 4.961 Å, c = 5.322 Å, α = 90.00°, β = 90.00° and γ = 90.00°. Symmetry generates all atoms from Nb at (0.000, 0.000, 0.000), As at (0.000, 0.000, 0.500), S at (0.500, 0.500, 0.500) and Br at (0.000, 0.500, 0.000).

---

# 2
Below is an optimized crystal structure of ZrTi2Mn, with properties calculated at the GGA-PBE level.

For the calculated formation energy, the calculation gives 0.25 eV per atom. Its energy above the lowest structure with this stoichiometry is 348.8 meV per atom.

It has space group I-42d (No. 122), with a = 7.084 Å, b = 7.084 Å, c = 5.555 Å, α = 90.00°, β = 90.00° and γ = 90.00°. Symmetry generates all atoms from Zr at (0.000, 0.000, 0.000), Ti at (0.195, 0.250, 0.625) and Mn at (0.000, 0.000, 0.500).

---

# 3
Below is an optimized crystal structure of TmUS, with properties calculated at the GGA-PBE level.

The formation energy from raw total energies comes out at -2.162 eV per formula unit.

It has space group P-1 (No. 2), with a = 3.746 Å, b = 3.747 Å, c = 10.714 Å, α = 93.03°, β = 93.14° and γ = 91.49°. Symmetry generates all atoms from Tm at (0.233, 0.234, 0.395), U at (0.332, 0.333, 0.909) and S at (0.174, 0.173, 0.149).

---

# 4
Below is an optimized crystal structure of ZnS6O2, with properties calculated at the GGA-PBE level.

The formation energy from raw total energies comes out at -3.201 eV per formula unit.

It has space group C2/c (No. 15), with a = 15.477 Å, b = 15.245 Å, c = 4.797 Å, α = 90.00°, β = 95.18° and γ = 90.00°. Symmetry generates all atoms from Zn at (0.000, 0.188, 0.250), S at (0.049, 0.287, 0.904), S at (0.096, 0.097, 0.511), S at (0.169, 0.190, 0.714) and O at (0.219, 0.152, 0.962).

---

# 5
Below is an optimized crystal structure of LiV2GeC, with properties calculated at the GGA-PBE level.

For the calculated formation energy, the calculation gives 1.27 eV per atom.

It has space group P4/mmm (No. 123), with a = 4.267 Å, b = 4.267 Å, c = 3.332 Å, α = 90.00°, β = 90.00° and γ = 90.00°. Symmetry generates all atoms from Li at (0.000, 0.000, 0.000), V at (0.000, 0.500, 0.000), Ge at (0.500, 0.500, 0.500) and C at (0.000, 0.000, 0.500).

---

# 6
Below is an optimized crystal structure of AsRh2W, with properties calculated at the GGA-PBE level.

For the calculated formation energy, the calculation gives -0.07 eV per atom.

It has space group Immm (No. 71), with a = 3.223 Å, b = 4.268 Å, c = 8.571 Å, α = 90.00°, β = 90.00° and γ = 90.00°. Symmetry generates all atoms from As at (0.000, 0.000, 0.000), Rh at (0.000, 0.500, 0.274) and W at (0.000, 0.000, 0.500).

---

Record order is preserved below.
Energy: -20.50, -130.05, -44.10, -156.63, -27.66, -65.14 eV per cell